[1]
TbGaNO: optimized geometry, PBE-GGA.

Unit cell a=5.066 b=5.066 c=4.356 alpha=90.04 beta=90.04 gamma=91.79
Positions (direct):
1 Ga 0.723 0.723 0.000
2 Ga 0.278 0.278 0.000
3 N 0.238 0.238 0.499
4 N 0.762 0.762 0.501
5 O 0.684 0.316 0.000
6 O 0.316 0.684 0.000
7 Tb 0.764 0.235 0.500
8 Tb 0.235 0.764 0.500

For the total magnetic moment, the calculation gives 0.0005 μB per atom. The theoretical density comes out at 7686 kg/m3. Its total energy is -53.58 eV for the cell shown.

=====

[2]
TbGaNO: optimized geometry, PBE-GGA.

Unit cell a=3.921 b=5.248 c=5.845 alpha=90.00 beta=90.00 gamma=90.00
Positions (direct):
1 Ga 0.000 0.489 0.309
2 Ga 0.000 0.989 0.691
3 N 0.000 0.856 0.375
4 N 0.000 0.356 0.625
5 O 0.500 0.424 0.174
6 O 0.500 0.924 0.826
7 Tb 0.500 0.986 0.207
8 Tb 0.500 0.486 0.793

For the total magnetic moment, the calculation gives 0.0007 μB per atom. The theoretical density comes out at 7142 kg/m3. Its total energy is -53.13 eV for the cell shown.

=====

[3]
TbGaNO: optimized geometry, PBE-GGA.

Unit cell a=5.902 b=7.532 c=5.112 alpha=90.00 beta=90.00 gamma=90.00
Positions (direct):
1 Ga 0.909 0.095 0.490
2 Ga 0.409 0.905 0.490
3 Ga 0.591 0.095 0.990
4 Ga 0.091 0.905 0.990
5 N 0.898 0.092 0.115
6 N 0.398 0.908 0.115
7 N 0.602 0.092 0.615
8 N 0.102 0.908 0.615
9 O 0.433 0.328 0.056
10 O 0.933 0.672 0.056
11 O 0.067 0.328 0.556
12 O 0.567 0.672 0.556
13 Tb 0.053 0.368 0.042
14 Tb 0.553 0.632 0.042
15 Tb 0.447 0.368 0.542
16 Tb 0.947 0.632 0.542

For the total magnetic moment, the calculation gives 0.1476 μB per atom. The theoretical density comes out at 7560 kg/m3. Its total energy is -106.49 eV for the cell shown.

=====

[4]
ZnGa3N3O: optimized geometry, PBE-GGA.

Unit cell a=6.412 b=6.413 c=10.420 alpha=89.91 beta=90.03 gamma=120.01
Positions (direct):
1 Ga 0.664 0.840 0.000
2 Ga 0.166 0.331 0.001
3 Ga 0.176 0.840 0.002
4 Ga 0.330 0.664 0.250
5 Ga 0.841 0.165 0.252
6 Ga 0.840 0.675 0.252
7 Ga 0.161 0.340 0.500
8 Ga 0.162 0.821 0.502
9 Ga 0.678 0.338 0.502
10 Ga 0.326 0.665 0.750
11 Ga 0.333 0.165 0.751
12 Ga 0.836 0.174 0.752
13 N 0.163 0.823 0.186
14 N 0.163 0.339 0.186
15 N 0.665 0.832 0.187
16 N 0.836 0.173 0.436
17 N 0.327 0.663 0.436
18 N 0.836 0.663 0.437
19 N 0.176 0.839 0.686
20 N 0.167 0.333 0.686
21 N 0.660 0.323 0.687
22 N 0.839 0.162 0.936
23 N 0.333 0.665 0.937
24 N 0.323 0.163 0.937
25 O 0.678 0.339 0.195
26 O 0.333 0.167 0.446
27 O 0.661 0.838 0.697
28 O 0.838 0.679 0.946
29 Zn 0.322 0.161 0.243
30 Zn 0.666 0.833 0.495
31 Zn 0.838 0.662 0.746
32 Zn 0.661 0.322 0.996

The theoretical density comes out at 5954 kg/m3. Its total energy is -183.25 eV for the cell shown.

=====

[5]
ZnGa3N3O: optimized geometry, PBE-GGA.

Unit cell a=6.428 b=6.428 c=10.417 alpha=89.90 beta=90.13 gamma=120.01
Positions (direct):
1 Ga 0.160 0.335 0.000
2 Ga 0.664 0.840 0.001
3 Ga 0.170 0.830 0.001
4 Ga 0.323 0.162 0.255
5 Ga 0.333 0.666 0.255
6 Ga 0.839 0.162 0.256
7 Ga 0.838 0.677 0.257
8 Ga 0.166 0.336 0.500
9 Ga 0.669 0.333 0.502
10 Ga 0.167 0.830 0.502
11 Ga 0.323 0.663 0.745
12 Ga 0.838 0.176 0.747
13 N 0.167 0.833 0.186
14 N 0.167 0.334 0.186
15 N 0.665 0.833 0.187
16 N 0.837 0.175 0.437
17 N 0.326 0.663 0.437
18 N 0.333 0.167 0.438
19 N 0.838 0.662 0.438
20 N 0.164 0.337 0.687
21 N 0.173 0.832 0.687
22 N 0.669 0.327 0.687
23 N 0.840 0.160 0.935
24 N 0.334 0.666 0.937
25 O 0.665 0.333 0.193
26 O 0.661 0.838 0.699
27 O 0.839 0.679 0.949
28 O 0.321 0.161 0.950
29 Zn 0.666 0.833 0.495
30 Zn 0.333 0.167 0.738
31 Zn 0.839 0.661 0.738
32 Zn 0.672 0.328 0.992

The theoretical density comes out at 5928 kg/m3. Its total energy is -182.50 eV for the cell shown.

=====

[6]
ZnGa3N3O: optimized geometry, PBE-GGA.

Unit cell a=6.441 b=6.439 c=10.427 alpha=90.01 beta=89.99 gamma=120.03
Positions (direct):
1 Ga 0.661 0.837 0.005
2 Ga 0.163 0.338 0.005
3 Ga 0.172 0.828 0.005
4 Ga 0.672 0.328 0.006
5 Ga 0.333 0.666 0.254
6 Ga 0.332 0.167 0.255
7 Ga 0.834 0.668 0.257
8 Ga 0.834 0.167 0.257
9 Ga 0.164 0.333 0.495
10 Ga 0.167 0.832 0.497
11 Ga 0.323 0.663 0.746
12 Ga 0.842 0.173 0.747
13 N 0.166 0.834 0.186
14 N 0.167 0.333 0.187
15 N 0.667 0.833 0.187
16 N 0.666 0.334 0.188
17 N 0.325 0.662 0.437
18 N 0.324 0.163 0.438
19 N 0.841 0.171 0.438
20 N 0.842 0.671 0.439
21 N 0.176 0.831 0.685
22 N 0.164 0.340 0.687
23 N 0.334 0.665 0.936
24 N 0.834 0.166 0.936
25 O 0.660 0.840 0.702
26 O 0.670 0.325 0.702
27 O 0.832 0.666 0.946
28 O 0.334 0.167 0.948
29 Zn 0.666 0.833 0.488
30 Zn 0.666 0.333 0.491
31 Zn 0.844 0.672 0.733
32 Zn 0.322 0.161 0.735

The theoretical density comes out at 5900 kg/m3. Its total energy is -181.79 eV for the cell shown.

=====

Number 1: excess energy over the best structure of this formula in the dataset 0.019 eV per atom. Number 2: excess energy over the best structure of this formula in the dataset 0.075 eV per atom. Number 3: excess energy over the best structure of this formula in the dataset 0.060 eV per atom. Number 4: excess energy over the best structure of this formula in the dataset 0.000 eV per atom. Number 5: excess energy over the best structure of this formula in the dataset 0.024 eV per atom. Number 6: excess energy over the best structure of this formula in the dataset 0.046 eV per atom.